No. 1
VASP calculation (PBE-GGA) on a relaxed TbHo6 crystal.

POSCAR file:
```
TbHo6
1.0
6.450 0.000 0.000
0.000 6.450 0.000
0.000 0.000 10.899
Tb Ho
2 12
Cartesian
1.613 4.838 0.000
4.838 1.613 0.000
0.528 3.753 3.948
0.528 5.923 6.951
1.613 1.613 1.530
1.613 1.613 9.369
2.698 3.753 6.951
2.698 5.923 3.948
3.753 0.528 6.951
3.753 2.698 3.948
4.838 4.838 1.530
4.838 4.838 9.369
5.923 0.528 3.948
5.923 2.698 6.951
```

Results
Energy relative to the lowest polymorph listed for this composition = 0.00 eV/f.u.
Spin magnetization = 0.000 μB/f.u.
Space group = P4/nbm

=====

No. 2
VASP calculation (PBE-GGA) on a relaxed KIrPb crystal.

POSCAR file:
```
KIrPb
1.0
4.568 0.000 0.000
-2.284 3.956 0.000
0.000 0.000 5.374
K Ir Pb
1 1 1
Cartesian
0.000 0.000 0.000
0.000 2.638 2.687
2.284 1.319 2.687
```

Results
Energy relative to the lowest polymorph listed for this composition = 0.11 eV/f.u.
Spin magnetization = 0.000 μB/f.u.
Space group = P-6m2